# CrCo2Ni | Alexandria via LeMat-Bulk | PBE-GGA | relaxed
# Symmetry   C2/m, No. 12
# Energy of formation from the pure elements   0.083 eV per atom
# Magnetic moment   0.557 μB/atom
# Density   8.7 g cm⁻³
# Crystal system   monoclinic
# E   -7.321 eV/atom
data_CrCo2Ni
_space_group_name_H-M_alt 'P 1'
_space_group_IT_number 1
_cell_length_a 4.291
_cell_length_b 4.291
_cell_length_c 4.354
_cell_angle_alpha 80.65
_cell_angle_beta 80.65
_cell_angle_gamma 33.46
loop_
_space_group_symop_operation_xyz
'x,y,z'
loop_
_atom_site_label
_atom_site_fract_x
_atom_site_fract_y
_atom_site_fract_z
_atom_site_occupancy
Co1 0.001 0.001 0.998 1
Co2 0.499 0.499 0.502 1
Cr1 0.750 0.750 0.750 1
Ni1 0.250 0.250 0.250 1